Entry 1:
VASP calculation (GGA-PBE) on a relaxed structure of TbDyTm4.

Output
- Space group: No. 216
- Formation energy: 1.677 eV per formula unit
- Magnetization: 1.13 μB per formula unit
- ΔE to the lowest computed polymorph: 197.9 meV/atom
- Uncorrected energy: -25.44 eV per cell

Structure (CIF):
```
data_TbDyTm4
_cell_length_a 6.4898
_cell_length_b 6.4898
_cell_length_c 6.4898
_cell_angle_alpha 60.00
_cell_angle_beta 60.00
_cell_angle_gamma 60.00
_space_group_name_H-M_alt 'P 1'
_space_group_IT_number 1
_space_group_name_Hall 'P 1'
loop_
_atom_site_label
_atom_site_type_symbol
_atom_site_fract_x
_atom_site_fract_y
_atom_site_fract_z
Tm1 Tm 0.6251 0.6251 0.1247
Tm2 Tm 0.6251 0.1247 0.6251
Tm3 Tm 0.6251 0.6251 0.6251
Tm4 Tm 0.1247 0.6251 0.6251
Tb1 Tb 0.2500 0.2500 0.2500
Dy1 Dy 0.0000 0.0000 0.0000
```

Entry 2:
VASP calculation (GGA-PBE) on a relaxed structure of CuHN3.

Output
- Space group: No. 221
- Magnetization: 4.66 μB per formula unit
- Uncorrected energy: -18.99 eV per cell

Structure (CIF):
```
data_CuHN3
_cell_length_a 3.8226
_cell_length_b 3.8226
_cell_length_c 3.8226
_cell_angle_alpha 90.00
_cell_angle_beta 90.00
_cell_angle_gamma 90.00
_space_group_name_H-M_alt 'P 1'
_space_group_IT_number 1
_space_group_name_Hall 'P 1'
loop_
_atom_site_label
_atom_site_type_symbol
_atom_site_fract_x
_atom_site_fract_y
_atom_site_fract_z
H1 H 0.5000 0.5000 0.5000
Cu1 Cu 0.0000 0.0000 0.0000
N1 N 0.0000 0.5000 0.0000
N2 N 0.0000 0.0000 0.5000
N3 N 0.5000 0.0000 0.0000
```

Entry 3:
VASP calculation (GGA-PBE) on a relaxed structure of BaLiErCd.

Output
- Space group: No. 216
- Formation energy: 0.038 eV per formula unit
- Magnetization: 0.00 μB per formula unit
- Uncorrected energy: -9.28 eV per cell

Structure (CIF):
```
data_BaLiErCd
_cell_length_a 5.6379
_cell_length_b 5.6379
_cell_length_c 5.6379
_cell_angle_alpha 60.00
_cell_angle_beta 60.00
_cell_angle_gamma 60.00
_space_group_name_H-M_alt 'P 1'
_space_group_IT_number 1
_space_group_name_Hall 'P 1'
loop_
_atom_site_label
_atom_site_type_symbol
_atom_site_fract_x
_atom_site_fract_y
_atom_site_fract_z
Cd1 Cd 0.5000 0.5000 0.5000
Li1 Li 0.0000 0.0000 0.0000
Ba1 Ba 0.7500 0.7500 0.7500
Er1 Er 0.2500 0.2500 0.2500
```

Entry 4:
VASP calculation (GGA-PBE) on a relaxed structure of Ac2TlCd.

Output
- Space group: No. 123
- Formation energy: -1.280 eV per formula unit
- Magnetization: 0.00 μB per formula unit
- ΔE to the lowest computed polymorph: 3.9 meV/atom
- Uncorrected energy: -12.78 eV per cell

Structure (CIF):
```
data_Ac2TlCd
_cell_length_a 4.0747
_cell_length_b 5.8295
_cell_length_c 5.8295
_cell_angle_alpha 90.00
_cell_angle_beta 90.00
_cell_angle_gamma 90.00
_space_group_name_H-M_alt 'P 1'
_space_group_IT_number 1
_space_group_name_Hall 'P 1'
loop_
_atom_site_label
_atom_site_type_symbol
_atom_site_fract_x
_atom_site_fract_y
_atom_site_fract_z
Ac1 Ac 0.0000 0.0000 0.5000
Ac2 Ac 0.0000 0.5000 0.0000
Tl1 Tl 0.5000 0.5000 0.5000
Cd1 Cd 0.5000 0.0000 0.0000
```

Entry 5:
VASP calculation (GGA-PBE) on a relaxed structure of CrGaRe3.

Output
- Space group: No. 221
- Formation energy: 7.969 eV per formula unit
- Magnetization: 0.27 μB per formula unit
- ΔE to the lowest computed polymorph: 0.0 meV/atom
- Uncorrected energy: -42.03 eV per cell

Structure (CIF):
```
data_CrGaRe3
_cell_length_a 4.4536
_cell_length_b 4.4536
_cell_length_c 4.4536
_cell_angle_alpha 90.00
_cell_angle_beta 90.00
_cell_angle_gamma 90.00
_space_group_name_H-M_alt 'P 1'
_space_group_IT_number 1
_space_group_name_Hall 'P 1'
loop_
_atom_site_label
_atom_site_type_symbol
_atom_site_fract_x
_atom_site_fract_y
_atom_site_fract_z
Re1 Re 0.0000 0.5000 0.0000
Re2 Re 0.0000 0.0000 0.5000
Re3 Re 0.5000 0.0000 0.0000
Ga1 Ga 0.5000 0.5000 0.5000
Cr1 Cr 0.0000 0.0000 0.0000
```

Entry 6:
VASP calculation (GGA-PBE) on a relaxed structure of SrPW2.

Output
- Space group: No. 71
- Formation energy: 1.934 eV per formula unit
- Magnetization: 0.00 μB per formula unit
- Uncorrected energy: -31.06 eV per cell

Structure (CIF):
```
data_SrPW2
_cell_length_a 6.0784
_cell_length_b 6.0784
_cell_length_c 6.0784
_cell_angle_alpha 153.71
_cell_angle_beta 130.89
_cell_angle_gamma 56.55
_space_group_name_H-M_alt 'P 1'
_space_group_IT_number 1
_space_group_name_Hall 'P 1'
loop_
_atom_site_label
_atom_site_type_symbol
_atom_site_fract_x
_atom_site_fract_y
_atom_site_fract_z
Sr1 Sr 0.5000 0.0000 0.5000
P1 P 0.0000 0.5000 0.5000
W1 W 0.7981 0.7981 0.0000
W2 W 0.2019 0.2019 0.0000
```